[1]
VASP calculation (PBE) on crystalline CuTcBiOs at its relaxed geometry.

abc: 6.4295 6.4295 6.4295
angles: 90.00 90.00 90.00
Space group F-43m (No. 216)
Asymmetric unit:
Cu 0.0000 0.0000 0.0000 (multiplicity 4)
Tc 0.0000 0.0000 0.5000 (multiplicity 4)
Bi 0.2500 0.2500 0.7500 (multiplicity 4)
Os 0.2500 0.2500 0.2500 (multiplicity 4)

Summary:
uncorrected energy = -105.4 eV for the cell shown
V = 265.78 Å³/cell
spin magnetization = 0.03 μB/cell

---

[2]
VASP calculation (PBE) on crystalline CuBiOsW at its relaxed geometry.

abc: 6.5099 6.5099 6.5099
angles: 90.00 90.00 90.00
Space group F-43m (No. 216)
Asymmetric unit:
Cu 0.0000 0.0000 0.0000 (multiplicity 4)
Bi 0.2500 0.2500 0.2500 (multiplicity 4)
Os 0.0000 0.0000 0.5000 (multiplicity 4)
W 0.2500 0.2500 0.7500 (multiplicity 4)

Summary:
uncorrected energy = -114.5 eV for the cell shown
V = 275.88 Å³/cell
spin magnetization = 0.01 μB/cell